Entry from Alexandria via LeMat-Bulk: a geometry-optimized Cs2KAgSn structure (PBE).

Cell lengths 7.1425, 7.1425, 5.3563 Å; angles 90.00, 90.00, 90.00 degrees
Fractional positions:
Cs 0.0000 0.5000 0.0000
Cs 0.5000 0.0000 0.0000
K 0.0000 0.0000 0.5000
Ag 0.5000 0.5000 0.0000
Sn 0.5000 0.5000 0.5000

Summary:
- Symmetry: P4/mmm (123)
- Calculated formation energy: 35.1 meV/atom
- DOS(E_F): 0.925 states/eV per atom
- Excess energy over the best structure of this formula in the dataset: 0.0 kJ per mole of atoms
- Crystal system: tetragonal
- Calculated total energy: -0.139 Ry/atom

Entry from Alexandria via LeMat-Bulk: a geometry-optimized HoInPt structure (PBE).

Cell lengths 6.1463, 6.1463, 6.1463 Å; angles 147.79, 147.79, 46.20 degrees
Fractional positions:
Ho 0.0000 0.0000 0.0000
In 0.7048 0.7048 0.0000
Pt 0.3520 0.3520 0.0000

Summary:
- Symmetry: I4mm (107)
- Calculated formation energy: -760.3 meV/atom
- DOS(E_F): 0.576 states/eV per atom
- Crystal system: tetragonal
- Calculated total energy: -0.383 Ry/atom

Entry from Alexandria via LeMat-Bulk: a geometry-optimized La15Tb2In2 structure (PBE).

Cell lengths 8.8871, 8.8871, 8.8871 Å; angles 77.15, 77.15, 77.15 degrees
Fractional positions:
La 0.0000 0.0000 0.5000
La 0.0000 0.2908 0.7092
La 0.0000 0.5000 0.0000
La 0.0000 0.7092 0.2908
La 0.1762 0.6032 0.6032
La 0.2908 0.0000 0.7092
La 0.2908 0.7092 0.0000
La 0.3968 0.3968 0.8238
La 0.3968 0.8238 0.3968
La 0.5000 0.0000 0.0000
La 0.6032 0.1762 0.6032
La 0.6032 0.6032 0.1762
La 0.7092 0.0000 0.2908
La 0.7092 0.2908 0.0000
La 0.8238 0.3968 0.3968
Tb 0.2947 0.2947 0.2947
Tb 0.7053 0.7053 0.7053
In 0.0943 0.0943 0.0943
In 0.9057 0.9057 0.9057

Summary:
- Symmetry: R-3m (166)
- Calculated formation energy: 82.4 meV/atom
- DOS(E_F): 1.228 states/eV per atom
- Crystal system: trigonal
- Calculated total energy: -0.337 Ry/atom

Entry from Alexandria via LeMat-Bulk: a geometry-optimized Pr4NdTh structure (PBE).

Cell lengths 6.1403, 6.1403, 11.7813 Å; angles 116.75, 116.75, 33.17 degrees
Fractional positions:
Pr 0.1541 0.1541 0.3443
Pr 0.3391 0.3391 0.1600
Pr 0.6609 0.6609 0.8400
Pr 0.8459 0.8459 0.6557
Nd 0.0000 0.0000 0.0000
Th 0.5000 0.5000 0.5000

Summary:
- Symmetry: C2/m (12)
- Calculated formation energy: 194.0 meV/atom
- DOS(E_F): 1.929 states/eV per atom
- Excess energy over the best structure of this formula in the dataset: 14.8 kJ per mole of atoms
- Crystal system: monoclinic
- Calculated total energy: -0.369 Ry/atom

Entry from Alexandria via LeMat-Bulk: a geometry-optimized NdZr2Ag structure (PBE).

Cell lengths 11.4808, 11.4808, 11.4808 Å; angles 15.82, 15.82, 15.82 degrees
Fractional positions:
Nd 0.0000 0.0000 0.0000
Zr 0.0950 0.0950 0.0950
Zr 0.9050 0.9050 0.9050
Ag 0.5000 0.5000 0.5000

Summary:
- Symmetry: R-3m (166)
- Calculated formation energy: 334.8 meV/atom
- DOS(E_F): 1.382 states/eV per atom
- Crystal system: trigonal
- Calculated total energy: -0.430 Ry/atom

Entry from Alexandria via LeMat-Bulk: a geometry-optimized ErAl3Pt2 structure (PBE).

Cell lengths 8.5420, 8.5420, 9.9853 Å; angles 107.55, 107.55, 27.99 degrees
Fractional positions:
Er 0.0000 0.0000 0.0000
Er 0.1571 0.1571 0.7050
Er 0.8429 0.8429 0.2950
Al 0.0409 0.0409 0.3529
Al 0.2143 0.2143 0.3914
Al 0.3245 0.3245 0.0360
Al 0.3734 0.3734 0.8004
Al 0.5000 0.5000 0.5000
Al 0.6266 0.6266 0.1996
Al 0.6755 0.6755 0.9640
Al 0.7857 0.7857 0.6086
Al 0.9591 0.9591 0.6471
Pt 0.1970 0.1970 0.1299
Pt 0.3609 0.3609 0.5448
Pt 0.4719 0.4719 0.2165
Pt 0.5281 0.5281 0.7835
Pt 0.6391 0.6391 0.4552
Pt 0.8030 0.8030 0.8701

Summary:
- Symmetry: C2/m (12)
- Calculated formation energy: -1024.9 meV/atom
- DOS(E_F): 0.392 states/eV per atom
- Crystal system: monoclinic
- Calculated total energy: -0.417 Ry/atom

Entry from Alexandria via LeMat-Bulk: a geometry-optimized La3Tl3In structure (PBE).

Cell lengths 6.5565, 6.5565, 15.9153 Å; angles 106.88, 106.88, 43.12 degrees
Fractional positions:
La 0.0134 0.0134 0.3800
La 0.1059 0.1059 0.9257
La 0.2286 0.2286 0.2266
La 0.7714 0.7714 0.7734
La 0.8941 0.8941 0.0743
La 0.9866 0.9866 0.6200
Tl 0.3580 0.3580 0.4562
Tl 0.3837 0.3837 0.9231
Tl 0.4988 0.4988 0.2250
Tl 0.5012 0.5012 0.7750
Tl 0.6163 0.6163 0.0769
Tl 0.6420 0.6420 0.5438
In 0.2800 0.2800 0.6221
In 0.7200 0.7200 0.3779

Summary:
- Symmetry: C2/m (12)
- Calculated formation energy: -402.3 meV/atom
- DOS(E_F): 0.961 states/eV per atom
- Excess energy over the best structure of this formula in the dataset: 0.0 kJ per mole of atoms
- Crystal system: monoclinic
- Calculated total energy: -0.288 Ry/atom

Entry from Alexandria via LeMat-Bulk: a geometry-optimized Ca2InPPd6 structure (PBE).

Cell lengths 5.7362, 8.8665, 8.1189 Å; angles 90.00, 90.00, 90.00 degrees
Fractional positions:
Ca 0.2500 0.0180 0.2325
Ca 0.2500 0.4820 0.2325
Ca 0.7500 0.5180 0.7675
Ca 0.7500 0.9820 0.7675
In 0.2500 0.7500 0.8003
In 0.7500 0.2500 0.1997
P 0.2500 0.2500 0.7120
P 0.7500 0.7500 0.2880
Pd 0.0069 0.7500 0.0762
Pd 0.0114 0.7500 0.5062
Pd 0.2500 0.0032 0.6120
Pd 0.2500 0.4968 0.6120
Pd 0.4886 0.7500 0.5062
Pd 0.4931 0.7500 0.0762
Pd 0.5069 0.2500 0.9238
Pd 0.5114 0.2500 0.4938
Pd 0.7500 0.5032 0.3880
Pd 0.7500 0.9968 0.3880
Pd 0.9886 0.2500 0.4938
Pd 0.9931 0.2500 0.9238

Summary:
- Symmetry: Pmmn (59)
- Calculated formation energy: -627.5 meV/atom
- DOS(E_F): 0.324 states/eV per atom
- Crystal system: orthorhombic
- Calculated total energy: -0.364 Ry/atom

Entry from Alexandria via LeMat-Bulk: a geometry-optimized TePd4Pt structure (PBE).

Cell lengths 7.5815, 7.5815, 5.3577 Å; angles 92.94, 92.94, 137.69 degrees
Fractional positions:
Te 0.0917 0.9083 0.7500
Te 0.9083 0.0917 0.2500
Pd 0.1517 0.3440 0.7292
Pd 0.2509 0.7429 0.0011
Pd 0.2571 0.7491 0.4989
Pd 0.3440 0.1517 0.2292
Pd 0.6560 0.8483 0.7708
Pd 0.7429 0.2509 0.5011
Pd 0.7491 0.2571 0.9989
Pd 0.8483 0.6560 0.2708
Pt 0.4261 0.5739 0.2500
Pt 0.5739 0.4261 0.7500

Summary:
- Symmetry: C2/c (15)
- DOS(E_F): 0.751 states/eV per atom
- Crystal system: monoclinic
- Calculated total energy: -0.373 Ry/atom
- Uncorrected formation energy: -48.9 kJ/mol of formula units

Entry from Alexandria via LeMat-Bulk: a geometry-optimized Cr2InAu structure (PBE).

Cell lengths 8.9312, 8.9312, 8.9312 Å; angles 20.23, 20.23, 20.23 degrees
Fractional positions:
Cr 0.2469 0.2469 0.2469
Cr 0.7531 0.7531 0.7531
In 0.0000 0.0000 0.0000
Au 0.5000 0.5000 0.5000

Summary:
- Symmetry: R-3m (166)
- Calculated formation energy: 491.5 meV/atom
- DOS(E_F): 1.019 states/eV per atom
- Crystal system: trigonal
- Calculated total energy: -0.428 Ry/atom

Entry from Alexandria via LeMat-Bulk: a geometry-optimized Ti4In2Ag structure (PBE).

Cell lengths 9.8058, 9.8058, 3.6832 Å; angles 90.00, 90.00, 156.16 degrees
Fractional positions:
Ti 0.1962 0.8038 0.0000
Ti 0.3011 0.6989 0.5000
Ti 0.6989 0.3011 0.5000
Ti 0.8038 0.1962 0.0000
In 0.4261 0.5739 0.0000
In 0.5739 0.4261 0.0000
Ag 0.0000 0.0000 0.5000

Summary:
- Symmetry: Cmmm (65)
- Calculated formation energy: 109.7 meV/atom
- DOS(E_F): 0.838 states/eV per atom
- Crystal system: orthorhombic
- Calculated total energy: -0.411 Ry/atom

Entry from Alexandria via LeMat-Bulk: a geometry-optimized ZrSn2S4 structure (PBE).

Cell lengths 7.9824, 7.9824, 7.9824 Å; angles 143.34, 143.34, 52.81 degrees
Fractional positions:
Zr 0.0000 0.0000 0.0000
Sn 0.3597 0.3597 0.0000
Sn 0.6403 0.6403 0.0000
S 0.0000 0.5000 0.5000
S 0.1784 0.1784 0.0000
S 0.5000 0.0000 0.5000
S 0.8216 0.8216 0.0000

Summary:
- Symmetry: I4/mmm (139)
- DOS(E_F): 0.017 states/eV per atom
- Excess energy over the best structure of this formula in the dataset: 13.4 kJ per mole of atoms
- Crystal system: tetragonal
- Calculated total energy: -0.395 Ry/atom
- Uncorrected formation energy: -436.4 kJ/mol of formula units

Entry from Alexandria via LeMat-Bulk: a geometry-optimized Lu2TiIn structure (PBE).

Cell lengths 4.6471, 4.6471, 4.4517 Å; angles 90.00, 90.00, 90.00 degrees
Fractional positions:
Lu 0.0000 0.5000 0.0000
Lu 0.5000 0.0000 0.0000
Ti 0.0000 0.0000 0.5000
In 0.5000 0.5000 0.5000

Summary:
- Symmetry: P4/mmm (123)
- Calculated formation energy: -122.2 meV/atom
- DOS(E_F): 0.930 states/eV per atom
- Excess energy over the best structure of this formula in the dataset: 0.6 kJ per mole of atoms
- Crystal system: tetragonal
- Calculated total energy: -0.371 Ry/atom

Entry from Alexandria via LeMat-Bulk: a geometry-optimized KLi2Hg2 structure (PBE).

Cell lengths 7.3359, 7.3359, 7.3359 Å; angles 144.13, 144.13, 51.63 degrees
Fractional positions:
K 0.0000 0.0000 0.0000
Li 0.2500 0.7500 0.5000
Li 0.7500 0.2500 0.5000
Hg 0.3824 0.3824 0.0000
Hg 0.6176 0.6176 0.0000

Summary:
- Symmetry: I4/mmm (139)
- Calculated formation energy: -215.4 meV/atom
- DOS(E_F): 0.521 states/eV per atom
- Excess energy over the best structure of this formula in the dataset: 1.1 kJ per mole of atoms
- Crystal system: tetragonal
- Calculated total energy: -0.097 Ry/atom

Entry from Alexandria via LeMat-Bulk: a geometry-optimized TbPm2Ru structure (PBE).

Cell lengths 7.3656, 9.5738, 6.3895 Å; angles 90.00, 90.00, 90.00 degrees
Fractional positions:
Tb 0.0429 0.2500 0.1430
Tb 0.4571 0.7500 0.6430
Tb 0.5429 0.2500 0.3570
Tb 0.9571 0.7500 0.8570
Pm 0.1770 0.0655 0.6703
Pm 0.1770 0.4345 0.6703
Pm 0.3230 0.5655 0.1703
Pm 0.3230 0.9345 0.1703
Pm 0.6770 0.0655 0.8297
Pm 0.6770 0.4345 0.8297
Pm 0.8230 0.5655 0.3297
Pm 0.8230 0.9345 0.3297
Ru 0.1148 0.7500 0.4570
Ru 0.3852 0.2500 0.9570
Ru 0.6148 0.7500 0.0430
Ru 0.8852 0.2500 0.5430

Summary:
- Symmetry: Pnma (62)
- Calculated formation energy: -240.4 meV/atom
- DOS(E_F): 0.949 states/eV per atom
- Excess energy over the best structure of this formula in the dataset: 0.0 kJ per mole of atoms
- Crystal system: orthorhombic
- Calculated total energy: -0.448 Ry/atom

Entry from Alexandria via LeMat-Bulk: a geometry-optimized Tb5Dy2Tm5 structure (PBE).

Cell lengths 7.8652, 7.8652, 11.1289 Å; angles 115.08, 115.08, 36.91 degrees
Fractional positions:
Tb 0.0000 0.0000 0.0000
Tb 0.1659 0.1659 0.4994
Tb 0.2493 0.2493 0.2487
Tb 0.7507 0.7507 0.7513
Tb 0.8341 0.8341 0.5006
Dy 0.0832 0.0832 0.7508
Dy 0.9168 0.9168 0.2492
Tm 0.3329 0.3329 0.9996
Tm 0.4170 0.4170 0.7504
Tm 0.5000 0.5000 0.5000
Tm 0.5830 0.5830 0.2496
Tm 0.6671 0.6671 0.0004

Summary:
- Symmetry: C2/m (12)
- Calculated formation energy: 19.6 meV/atom
- DOS(E_F): 1.265 states/eV per atom
- Crystal system: monoclinic
- Calculated total energy: -0.334 Ry/atom

Entry from Alexandria via LeMat-Bulk: a geometry-optimized Mg2ZnRh2 structure (PBE).

Cell lengths 7.1099, 7.1099, 3.1143 Å; angles 90.00, 90.00, 90.00 degrees
Fractional positions:
Mg 0.1354 0.3646 0.0000
Mg 0.3646 0.8646 0.0000
Mg 0.6354 0.1354 0.0000
Mg 0.8646 0.6354 0.0000
Zn 0.0000 0.0000 0.0000
Zn 0.5000 0.5000 0.0000
Rh 0.1645 0.6645 0.5000
Rh 0.3355 0.1645 0.5000
Rh 0.6645 0.8355 0.5000
Rh 0.8355 0.3355 0.5000

Summary:
- Symmetry: P4/mbm (127)
- Calculated formation energy: -225.8 meV/atom
- DOS(E_F): 0.332 states/eV per atom
- Crystal system: tetragonal
- Calculated total energy: -0.298 Ry/atom

Entry from Alexandria via LeMat-Bulk: a geometry-optimized Zn2InNi3 structure (PBE).

Cell lengths 2.9394, 2.9394, 9.2333 Å; angles 90.00, 90.00, 90.00 degrees
Fractional positions:
Zn 0.0000 0.0000 0.1538
Zn 0.0000 0.0000 0.8462
In 0.0000 0.0000 0.5000
Ni 0.5000 0.5000 0.0000
Ni 0.5000 0.5000 0.3077
Ni 0.5000 0.5000 0.6923

Summary:
- Symmetry: P4/mmm (123)
- Calculated formation energy: -169.8 meV/atom
- DOS(E_F): 0.570 states/eV per atom
- Crystal system: tetragonal
- Calculated total energy: -0.290 Ry/atom

Entry from Alexandria via LeMat-Bulk: a geometry-optimized LaY2Tl structure (PBE).

Cell lengths 5.5892, 5.5892, 5.5892 Å; angles 60.00, 60.00, 60.00 degrees
Fractional positions:
La 0.0000 0.0000 0.0000
Y 0.5000 0.5000 0.5000
Y 0.7500 0.7500 0.7500
Tl 0.2500 0.2500 0.2500

Summary:
- Symmetry: F-43m (216)
- Calculated formation energy: -68.6 meV/atom
- DOS(E_F): 1.239 states/eV per atom
- Excess energy over the best structure of this formula in the dataset: 12.3 kJ per mole of atoms
- Crystal system: cubic
- Calculated total energy: -0.377 Ry/atom

Entry from Alexandria via LeMat-Bulk: a geometry-optimized Pr4YHo10 structure (PBE).

Cell lengths 8.9336, 8.9336, 8.9336 Å; angles 101.55, 101.55, 126.84 degrees
Fractional positions:
Pr 0.2273 0.2273 0.4545
Pr 0.2273 0.7727 0.0000
Pr 0.7727 0.2273 0.0000
Pr 0.7727 0.7727 0.5455
Y 0.0000 0.0000 0.0000
Ho 0.0862 0.2945 0.7917
Ho 0.2500 0.7500 0.5000
Ho 0.2945 0.0862 0.7917
Ho 0.2945 0.5029 0.2083
Ho 0.4971 0.7055 0.7917
Ho 0.5029 0.2945 0.2083
Ho 0.7055 0.4971 0.7917
Ho 0.7055 0.9138 0.2083
Ho 0.7500 0.2500 0.5000
Ho 0.9138 0.7055 0.2083

Summary:
- Symmetry: I4/mmm (139)
- Calculated formation energy: 273.1 meV/atom
- DOS(E_F): 1.458 states/eV per atom
- Crystal system: tetragonal
- Calculated total energy: -0.330 Ry/atom